An optimized crystal structure of MgZrCu2. Source: Alexandria via LeMat-Bulk, functional PBE-GGA.

```
MgZrCu2
1.0
4.323 0.000 0.000
0.000 1.581 4.994
0.000 -1.581 4.994
Mg Zr Cu
1 1 2
Cartesian
0.000 0.000 0.000 Mg
2.162 0.000 7.001 Zr
0.000 0.000 2.778 Cu
2.162 0.000 4.232 Cu
```

Summary:
E_form, eV/atom: -0.08
Uncorrected energy, eV per atom: -4.67
SG: Amm2 (38)
DOS(E_F), states/eV/f.u.: 2.41